This record from Alexandria describes crystalline Gd3Dy at its relaxed geometry. The functional is PBE.

CIF file:
```
data_Gd3Dy
_chemical_formula_sum 'Gd3 Dy1'
_cell_length_a 5.0462
_cell_length_b 5.0462
_cell_length_c 5.0462
_cell_angle_alpha 90.00
_cell_angle_beta 90.00
_cell_angle_gamma 90.00
_symmetry_space_group_name_H-M 'P 1'
_symmetry_Int_Tables_number 1
_symmetry_space_group_name_Hall 'P 1'
loop_
_atom_site_label
_atom_site_type_symbol
_atom_site_fract_x
_atom_site_fract_y
_atom_site_fract_z
Gd1 Gd 0.0000 0.0000 0.5000
Gd2 Gd 0.0000 0.5000 0.0000
Gd3 Gd 0.5000 0.0000 0.0000
Dy1 Dy 0.5000 0.5000 0.5000
```

Properties
Formation enthalpy at 0 K = 0.037 eV/atom
Raw total energy = -11.67 eV/atom
SG = Pm-3m, No. 221